Entry 1:
# Pm4S, optimized geometry, DFT PBE-GGA
# Crystal system: cubic
# DOS(E_F) (states/eV/f.u.): 6.07
# Raw formation energy (eV per atom): -0.68
data_Pm4S
_space_group_name_H-M_alt 'P m -3 m'
_space_group_IT_number 221
_space_group_name_Hall '-P 4 2 3'
_cell_length_a 5.476
_cell_length_b 5.476
_cell_length_c 5.476
_cell_angle_alpha 90.00
_cell_angle_beta 90.00
_cell_angle_gamma 90.00
loop_
_atom_site_label
_atom_site_fract_x
_atom_site_fract_y
_atom_site_fract_z
Pm1 0.000 0.000 0.000
Pm2 0.000 0.500 0.500
S1 0.500 0.500 0.500

---

Entry 2:
# PmS, optimized geometry, DFT PBE-GGA
# Crystal system: tetragonal
# Polymorph energy (0 for the lowest one) (meV/atom): 233
# DOS(E_F) (states/eV/f.u.): 0.76
# Raw formation energy (eV per atom): -1.80
data_PmS
_space_group_name_H-M_alt 'I 4/m m m'
_space_group_IT_number 139
_space_group_name_Hall '-I 4 2'
_cell_length_a 3.944
_cell_length_b 3.944
_cell_length_c 17.703
_cell_angle_alpha 90.00
_cell_angle_beta 90.00
_cell_angle_gamma 90.00
loop_
_atom_site_label
_atom_site_fract_x
_atom_site_fract_y
_atom_site_fract_z
Pm1 0.000 0.000 0.182
S1 0.000 0.000 0.343

---

Q: Which formula does entry 1 have?
A: Pm4S

---

Q: Look up the raw formation energy of the second one.
A: -1.80 eV per atom

---

Q: Which formula does entry 1 have?
A: Pm4S